# 1
Al3IrAu: relaxed, PBE.

Computed properties:
Energy above the most stable polymorph in this dataset in eV/atom: 0.000
Crystal system: cubic
Space-group type: Pm-3m, No. 221

Lattice parameters (Å, degrees): 4.7212 4.7212 4.7212 90.00 90.00 90.00
Sites, in units of the cell vectors:
Al 0.0000 0.0000 0.5000
Al 0.0000 0.5000 0.0000
Al 0.5000 0.0000 0.0000
Ir 0.0000 0.0000 0.0000
Au 0.5000 0.5000 0.5000



# 2
AlIr2Au: relaxed, PBE.

Computed properties:
Crystal system: tetragonal
Space-group type: I4/mmm, No. 139

Lattice parameters (Å, degrees): 4.7112 4.7112 4.7112 129.33 129.33 74.48
Sites, in units of the cell vectors:
Al 0.0000 0.0000 0.0000
Ir 0.2500 0.7500 0.5000
Ir 0.7500 0.2500 0.5000
Au 0.5000 0.5000 0.0000



# 3
AlIr2Au: relaxed, PBE.

Computed properties:
Crystal system: orthorhombic
Space-group type: Immm, No. 71

Lattice parameters (Å, degrees): 5.3876 5.3876 5.3876 149.27 129.61 60.19
Sites, in units of the cell vectors:
Al 0.0000 0.0000 0.0000
Ir 0.2217 0.7217 0.5000
Ir 0.7783 0.2783 0.5000
Au 0.5000 0.5000 0.0000



# 4
AlIr2Au: relaxed, PBE.

Computed properties:
Crystal system: tetragonal
Space-group type: P4/mmm, No. 123

Lattice parameters (Å, degrees): 4.4211 4.4211 3.1120 90.00 90.00 90.00
Sites, in units of the cell vectors:
Al 0.0000 0.0000 0.0000
Ir 0.0000 0.5000 0.5000
Ir 0.5000 0.0000 0.5000
Au 0.5000 0.5000 0.0000



# 5
AlIr2Au: relaxed, PBE.

Computed properties:
Crystal system: trigonal
Space-group type: R3m, No. 160

Lattice parameters (Å, degrees): 8.9021 8.9021 8.9021 18.37 18.37 18.37
Sites, in units of the cell vectors:
Al 0.0000 0.0000 0.0000
Ir 0.2574 0.2574 0.2574
Ir 0.5079 0.5079 0.5079
Au 0.7488 0.7488 0.7488



# 6
AlIr2Au: relaxed, PBE.

Computed properties:
Crystal system: orthorhombic
Space-group type: Pmm2, No. 25

Lattice parameters (Å, degrees): 2.8084 3.8014 5.7348 90.00 90.00 90.00
Sites, in units of the cell vectors:
Al 0.0000 0.0000 0.0000
Ir 0.0000 0.0000 0.5380
Ir 0.5000 0.5000 0.7723
Au 0.5000 0.5000 0.2632



# 7
AlIr2Au: relaxed, PBE.

Computed properties:
Crystal system: orthorhombic
Space-group type: Cmm2, No. 35

Lattice parameters (Å, degrees): 2.8138 2.8138 9.0733 90.00 90.00 119.92
Sites, in units of the cell vectors:
Al 0.0000 0.0000 0.0000
Ir 0.0000 0.0000 0.4792
Ir 0.5000 0.5000 0.2242
Au 0.5000 0.5000 0.7530



# 8
Al2IrAu2: relaxed, PBE.

Computed properties:
Energy above the most stable polymorph in this dataset in eV/atom: 0.366
Crystal system: tetragonal
Space-group type: I4/mmm, No. 139

Lattice parameters (Å, degrees): 6.4187 6.4187 6.4187 145.07 145.07 50.24
Sites, in units of the cell vectors:
Al 0.2500 0.7500 0.5000
Al 0.7500 0.2500 0.5000
Ir 0.0000 0.0000 0.0000
Au 0.3875 0.3875 0.0000
Au 0.6125 0.6125 0.0000



# 9
AlIr2Au: relaxed, PBE.

Computed properties:
Crystal system: tetragonal
Space-group type: P4/mmm, No. 123

Lattice parameters (Å, degrees): 4.0077 4.0077 3.7500 90.00 90.00 90.00
Sites, in units of the cell vectors:
Al 0.0000 0.0000 0.0000
Ir 0.0000 0.5000 0.5000
Ir 0.5000 0.0000 0.5000
Au 0.5000 0.5000 0.0000



# 10
AlIrAu2: relaxed, PBE.

Computed properties:
Crystal system: orthorhombic
Space-group type: Cmmm, No. 65

Lattice parameters (Å, degrees): 2.8729 2.8729 9.2365 90.00 90.00 119.81
Sites, in units of the cell vectors:
Al 0.0000 0.0000 0.0000
Ir 0.0000 0.0000 0.5000
Au 0.5000 0.5000 0.2379
Au 0.5000 0.5000 0.7621



# 11
AlIr2Au: relaxed, PBE.

Computed properties:
Crystal system: cubic
Space-group type: F-43m, No. 216

Lattice parameters (Å, degrees): 4.4470 4.4470 4.4470 60.00 60.00 60.00
Sites, in units of the cell vectors:
Al 0.0000 0.0000 0.0000
Ir 0.2500 0.2500 0.2500
Ir 0.5000 0.5000 0.5000
Au 0.7500 0.7500 0.7500



# 12
AlIrAu3: relaxed, PBE.

Computed properties:
Energy above the most stable polymorph in this dataset in eV/atom: 0.009
Crystal system: cubic
Space-group type: Pm-3m, No. 221

Lattice parameters (Å, degrees): 5.0590 5.0590 5.0590 90.00 90.00 90.00
Sites, in units of the cell vectors:
Al 0.0000 0.0000 0.0000
Ir 0.5000 0.5000 0.5000
Au 0.0000 0.5000 0.5000
Au 0.5000 0.0000 0.5000
Au 0.5000 0.5000 0.0000



Number 1: ΔH_f (0 K) -0.1861 eV/atom, total moment 0.00 μB/f.u.. Number 2: ΔH_f (0 K) -0.0823 eV/atom, total moment 0.00 μB/f.u.. Number 3: ΔH_f (0 K) -0.2054 eV/atom, total moment 0.00 μB/f.u.. Number 4: ΔH_f (0 K) -0.1001 eV/atom, total moment 0.00 μB/f.u.. Number 5: ΔH_f (0 K) -0.0781 eV/atom, total moment 0.52 μB/f.u.. Number 6: ΔH_f (0 K) -0.1166 eV/atom, total moment 0.00 μB/f.u.. Number 7: ΔH_f (0 K) 0.0599 eV/atom, total moment 0.00 μB/f.u.. Number 8: ΔH_f (0 K) 0.1550 eV/atom, total moment 0.09 μB/f.u.. Number 9: ΔH_f (0 K) -0.1722 eV/atom, total moment 0.00 μB/f.u.. Number 10: ΔH_f (0 K) 0.1532 eV/atom, total moment 0.00 μB/f.u.. Number 11: ΔH_f (0 K) 0.0645 eV/atom, total moment 1.10 μB/f.u.. Number 12: ΔH_f (0 K) 0.9712 eV/atom, total moment 0.00 μB/f.u..